Version 1
A geometry-optimized TbNdHo5 structure. Source: Alexandria, functional PBE.

a b c (Å): 5.7641 8.6104 11.8925
angles (deg): 90.00 90.00 90.00
Last column: nearest neighbours and their distance in Å.
Atoms (fractional coordinates):
Tb 0.0000 0.0000 0.0000  6 Ho 3.04-3.26
Tb 0.5000 0.5000 0.5000  6 Ho 3.04-3.26
Nd 0.0000 0.0000 0.5000  6 Ho 2.78-2.91
Nd 0.5000 0.5000 0.0000  6 Ho 2.78-2.91
Ho 0.0000 0.0000 0.2552  1 Nd 2.91, 1 Tb 3.04
Ho 0.0000 0.0000 0.7448  1 Nd 2.91, 1 Tb 3.04
Ho 0.0000 0.3224 0.5000  1 Nd 2.78, 1 Ho 3.06
Ho 0.0000 0.5000 0.0000  2 Nd 2.88
Ho 0.0000 0.6776 0.5000  1 Nd 2.78, 1 Ho 3.06
Ho 0.5000 0.0000 0.5000  2 Nd 2.88
Ho 0.5000 0.1776 0.0000  1 Nd 2.78, 1 Ho 3.06
Ho 0.5000 0.5000 0.2448  1 Nd 2.91, 1 Tb 3.04
Ho 0.5000 0.5000 0.7552  1 Nd 2.91, 1 Tb 3.04
Ho 0.5000 0.8224 0.0000  1 Nd 2.78, 1 Ho 3.06

Calculated values
magnetization	0.00	μB per formula unit
space-group type	Immm, No. 71

Version 2
A geometry-optimized TbNdHo5 structure. Source: Alexandria, functional PBE.

a b c (Å): 6.7438 6.7438 12.1370
angles (deg): 107.11 107.11 60.28
Last column: nearest neighbours and their distance in Å.
Atoms (fractional coordinates):
Tb 0.0000 0.5000 0.0000  4 Ho 3.25-3.59
Tb 0.5000 0.0000 0.5000  4 Ho 3.25-3.59
Nd 0.0278 0.9722 0.7500  3 Ho 2.97-3.30
Nd 0.9722 0.0278 0.2500  3 Ho 2.97-3.30
Ho 0.1438 0.4165 0.7512  2 Ho 2.99-3.29, 1 Tb 3.25
Ho 0.1936 0.6495 0.5004  4 Ho 3.29-3.59, 1 Nd 3.30
Ho 0.3505 0.8064 0.9996  4 Ho 3.29-3.59, 1 Nd 3.30
Ho 0.4106 0.5894 0.2500  1 Nd 2.97, 2 Ho 2.99
Ho 0.4165 0.1438 0.2512  2 Ho 2.99-3.29, 1 Tb 3.25
Ho 0.5835 0.8562 0.7488  2 Ho 2.99-3.29, 1 Tb 3.25
Ho 0.5894 0.4106 0.7500  1 Nd 2.97, 2 Ho 2.99
Ho 0.6495 0.1936 0.0004  4 Ho 3.29-3.59, 1 Nd 3.30
Ho 0.8064 0.3505 0.4996  4 Ho 3.29-3.59, 1 Nd 3.30
Ho 0.8562 0.5835 0.2488  2 Ho 2.99-3.29, 1 Tb 3.25

Calculated values
magnetization	0.00	μB per formula unit
space-group type	C2/c, No. 15

It is version 2 that is the most stable of them.

Version 1
A geometry-optimized Tb4NdHo5 structure. Source: Alexandria, functional PBE.

a b c (Å): 7.8730 7.8730 7.8730
angles (deg): 99.10 99.10 133.14
Last column: nearest neighbours and their distance in Å.
Atoms (fractional coordinates):
Tb 0.0491 0.3495 0.3986  4 Ho 3.22-3.52, 1 Tb 3.24
Tb 0.3495 0.9509 0.3003  4 Ho 3.22-3.52, 1 Tb 3.24
Tb 0.6505 0.0491 0.6997  4 Ho 3.22-3.52, 1 Tb 3.24
Tb 0.9509 0.6505 0.6014  4 Ho 3.22-3.52, 1 Tb 3.24
Nd 0.7682 0.7682 0.0000  1 Ho 2.87
Ho 0.2264 0.2264 0.0000  1 Nd 2.87
Ho 0.2632 0.6425 0.9142  4 Tb 3.22-3.52, 1 Ho 3.28, 1 Nd 3.29
Ho 0.3490 0.2632 0.6207  4 Tb 3.22-3.52, 1 Ho 3.28, 1 Nd 3.29
Ho 0.6425 0.7283 0.3793  4 Tb 3.22-3.52, 1 Ho 3.28, 1 Nd 3.29
Ho 0.7283 0.3490 0.0858  4 Tb 3.22-3.52, 1 Ho 3.28, 1 Nd 3.29

Calculated values
magnetization	0.00	μB per formula unit
space-group type	I4, No. 79

Version 2
A geometry-optimized Tb4NdHo5 structure. Source: Alexandria, functional PBE.

a b c (Å): 6.1857 3.5751 14.3608
angles (deg): 90.00 90.03 90.00
Last column: nearest neighbours and their distance in Å.
Atoms (fractional coordinates):
Tb 0.1670 0.0000 0.2960  4 Ho 3.51-3.58, 6 Tb 3.57-3.58, 2 Nd 3.58
Tb 0.3330 0.5000 0.7028  5 Ho 3.52-3.57, 1 Nd 3.57, 6 Tb 3.57-3.58
Tb 0.6670 0.5000 0.2972  5 Ho 3.52-3.57, 1 Nd 3.57, 6 Tb 3.57-3.58
Tb 0.8330 0.0000 0.7040  4 Ho 3.51-3.58, 6 Tb 3.57-3.58, 2 Nd 3.58
Nd 0.0000 0.5000 0.5000  6 Tb 3.57-3.58, 4 Ho 3.57, 2 Nd 3.58
Ho 0.1667 0.0000 0.9021  9 Ho 3.49-3.58, 3 Tb 3.51-3.53
Ho 0.3339 0.5000 0.0980  9 Ho 3.49-3.58, 3 Tb 3.51-3.52
Ho 0.5000 0.0000 0.5000  6 Tb 3.57-3.58, 4 Nd 3.57, 2 Ho 3.58
Ho 0.6661 0.5000 0.9020  9 Ho 3.49-3.58, 3 Tb 3.51-3.52
Ho 0.8333 0.0000 0.0979  9 Ho 3.49-3.58, 3 Tb 3.51-3.53

Calculated values
magnetization	0.00	μB per formula unit
space-group type	P2/m, No. 10

It is version 2 that is the most stable of them.

Version 1
A geometry-optimized Tb6Nd8Ho structure. Source: Alexandria, functional PBE.

a b c (Å): 8.7700 8.7700 8.7700
angles (deg): 63.12 63.12 63.12
Last column: nearest neighbours and their distance in Å.
Atoms (fractional coordinates):
Tb 0.0397 0.5971 0.7454  3 Nd 3.39-3.47, 1 Ho 3.51, 4 Tb 3.58-3.79
Tb 0.2546 0.9603 0.4029  3 Nd 3.39-3.47, 1 Ho 3.51, 4 Tb 3.58-3.79
Tb 0.4029 0.2546 0.9603  3 Nd 3.39-3.47, 1 Ho 3.51, 4 Tb 3.58-3.79
Tb 0.5971 0.7454 0.0397  3 Nd 3.39-3.47, 1 Ho 3.51, 4 Tb 3.58-3.79
Tb 0.7454 0.0397 0.5971  3 Nd 3.39-3.47, 1 Ho 3.51, 4 Tb 3.58-3.79
Tb 0.9603 0.4029 0.2546  3 Nd 3.39-3.47, 1 Ho 3.51, 4 Tb 3.58-3.79
Nd 0.0779 0.0779 0.0779  4 Nd 3.27-3.47, 3 Tb 3.39
Nd 0.2171 0.6126 0.2507  3 Tb 3.45-3.85, 5 Nd 3.47-3.49, 1 Ho 3.56
Nd 0.2507 0.2171 0.6126  3 Tb 3.45-3.85, 5 Nd 3.47-3.49, 1 Ho 3.56
Nd 0.3874 0.7493 0.7829  3 Tb 3.45-3.85, 5 Nd 3.47-3.49, 1 Ho 3.56
Nd 0.6126 0.2507 0.2171  3 Tb 3.45-3.85, 5 Nd 3.47-3.49, 1 Ho 3.56
Nd 0.7493 0.7829 0.3874  3 Tb 3.45-3.85, 5 Nd 3.47-3.49, 1 Ho 3.56
Nd 0.7829 0.3874 0.7493  3 Tb 3.45-3.85, 5 Nd 3.47-3.49, 1 Ho 3.56
Nd 0.9221 0.9221 0.9221  4 Nd 3.27-3.47, 3 Tb 3.39
Ho 0.5000 0.5000 0.5000  6 Tb 3.51, 6 Nd 3.56

Calculated values
magnetization	0.00	μB per formula unit
space-group type	R-3, No. 148

Version 2
A geometry-optimized Tb6Nd8Ho structure. Source: Alexandria, functional PBE.

a b c (Å): 9.4645 9.4645 6.6123
angles (deg): 90.00 90.00 120.00
Last column: nearest neighbours and their distance in Å.
Atoms (fractional coordinates):
Tb 0.0915 0.6559 0.1576  1 Tb 3.31, 4 Nd 3.31-3.59
Tb 0.3441 0.4356 0.1576  1 Tb 3.31, 4 Nd 3.31-3.59
Tb 0.4356 0.0915 0.8424  1 Tb 3.31, 4 Nd 3.31-3.59
Tb 0.5644 0.9085 0.1576  1 Tb 3.31, 4 Nd 3.31-3.59
Tb 0.6559 0.5644 0.8424  1 Tb 3.31, 4 Nd 3.31-3.59
Tb 0.9085 0.3441 0.8424  1 Tb 3.31, 4 Nd 3.31-3.59
Nd 0.0345 0.7490 0.6662  3 Nd 3.30-3.37, 4 Tb 3.31-3.59, 1 Ho 3.38
Nd 0.2510 0.2855 0.6662  3 Nd 3.30-3.37, 4 Tb 3.31-3.59, 1 Ho 3.38
Nd 0.2855 0.0345 0.3338  3 Nd 3.30-3.37, 4 Tb 3.31-3.59, 1 Ho 3.38
Nd 0.3333 0.6667 0.6189  3 Nd 3.30
Nd 0.6667 0.3333 0.3811  3 Nd 3.30
Nd 0.7145 0.9655 0.6662  3 Nd 3.30-3.37, 4 Tb 3.31-3.59, 1 Ho 3.38
Nd 0.7490 0.7145 0.3338  3 Nd 3.30-3.37, 4 Tb 3.31-3.59, 1 Ho 3.38
Nd 0.9655 0.2510 0.3338  3 Nd 3.30-3.37, 4 Tb 3.31-3.59, 1 Ho 3.38
Ho 0.0000 0.0000 0.0000  6 Nd 3.38

Calculated values
magnetization	0.00	μB per formula unit
space-group type	P-3, No. 147

It is version 1 that is the most stable of them.

Version 1
A geometry-optimized Tb2Nd5Ho3 structure. Source: Alexandria, functional PBE.

a b c (Å): 9.1862 9.1862 10.0483
angles (deg): 108.21 108.21 108.42
Last column: nearest neighbours and their distance in Å.
Atoms (fractional coordinates):
Tb 0.0250 0.2815 0.0575  3 Ho 3.27-3.48, 4 Nd 3.41-3.54
Tb 0.2815 0.0250 0.5575  3 Ho 3.27-3.48, 4 Nd 3.41-3.54
Tb 0.7185 0.9750 0.4425  3 Ho 3.27-3.48, 4 Nd 3.41-3.54
Tb 0.9750 0.7185 0.9425  3 Ho 3.27-3.48, 4 Nd 3.41-3.54
Nd 0.0191 0.9809 0.7500  3 Nd 3.12-3.48, 2 Tb 3.41
Nd 0.1224 0.3809 0.7539  3 Ho 3.42-3.77, 3 Nd 3.42-3.50, 2 Tb 3.72-3.76
Nd 0.2285 0.7715 0.7500  3 Nd 3.12-3.42, 2 Ho 3.40, 2 Tb 3.48
Nd 0.3809 0.1224 0.2539  3 Ho 3.42-3.77, 3 Nd 3.42-3.50, 2 Tb 3.72-3.76
Nd 0.4787 0.5213 0.2500  3 Ho 3.08-3.40
Nd 0.5213 0.4787 0.7500  3 Ho 3.08-3.40
Nd 0.6191 0.8776 0.7461  3 Ho 3.42-3.77, 3 Nd 3.42-3.50, 2 Tb 3.72-3.76
Nd 0.7715 0.2285 0.2500  3 Nd 3.12-3.42, 2 Ho 3.40, 2 Tb 3.48
Nd 0.8776 0.6191 0.2461  3 Ho 3.42-3.77, 3 Nd 3.42-3.50, 2 Tb 3.72-3.76
Nd 0.9809 0.0191 0.2500  3 Nd 3.12-3.48, 2 Tb 3.41
Ho 0.2211 0.4722 0.4429  1 Tb 3.27, 5 Nd 3.40-3.52, 1 Ho 3.50
Ho 0.2720 0.7280 0.2500  3 Nd 3.08-3.42, 2 Tb 3.38
Ho 0.4722 0.2211 0.9429  1 Tb 3.27, 5 Nd 3.40-3.52, 1 Ho 3.50
Ho 0.5278 0.7789 0.0571  1 Tb 3.27, 5 Nd 3.40-3.52, 1 Ho 3.50
Ho 0.7280 0.2720 0.7500  3 Nd 3.08-3.42, 2 Tb 3.38
Ho 0.7789 0.5278 0.5571  1 Tb 3.27, 5 Nd 3.40-3.52, 1 Ho 3.50

Calculated values
magnetization	0.00	μB per formula unit
space-group type	C2/c, No. 15

Version 2
A geometry-optimized Tb2Nd5Ho3 structure. Source: Alexandria, functional PBE.

a b c (Å): 9.9697 9.9697 9.9697
angles (deg): 123.47 93.17 113.16
Last column: nearest neighbours and their distance in Å.
Atoms (fractional coordinates):
Tb 0.1196 0.0893 0.2089  1 Nd 2.91, 1 Ho 3.22
Tb 0.3804 0.5893 0.9697  1 Nd 2.91, 1 Ho 3.22
Tb 0.6196 0.4107 0.0303  1 Nd 2.91, 1 Ho 3.22
Tb 0.8804 0.9107 0.7911  1 Nd 2.91, 1 Ho 3.22
Nd 0.0031 0.2500 0.7531  2 Tb 3.36, 3 Nd 3.38-3.47, 1 Ho 3.38
Nd 0.1283 0.3969 0.5252  1 Tb 2.91
Nd 0.2500 0.7500 0.5000  6 Nd 3.40-3.47
Nd 0.3717 0.8969 0.2685  1 Tb 2.91
Nd 0.4969 0.2500 0.2469  2 Tb 3.36, 3 Nd 3.38-3.47, 1 Ho 3.38
Nd 0.5031 0.7500 0.7531  2 Tb 3.36, 3 Nd 3.38-3.47, 1 Ho 3.38
Nd 0.6283 0.1031 0.7315  1 Tb 2.91
Nd 0.7500 0.2500 0.5000  6 Nd 3.40-3.47
Nd 0.8717 0.6031 0.4748  1 Tb 2.91
Nd 0.9969 0.7500 0.2469  2 Tb 3.36, 3 Nd 3.38-3.47, 1 Ho 3.38
Ho 0.1239 0.7489 0.8728  1 Tb 3.22, 1 Nd 3.32
Ho 0.2500 0.2500 0.0000  4 Tb 3.31, 2 Nd 3.38
Ho 0.3761 0.2489 0.6250  1 Tb 3.22, 1 Nd 3.32
Ho 0.6239 0.7511 0.3750  1 Tb 3.22, 1 Nd 3.32
Ho 0.7500 0.7500 0.0000  4 Tb 3.31, 2 Nd 3.38
Ho 0.8761 0.2511 0.1272  1 Tb 3.22, 1 Nd 3.32

Calculated values
magnetization	0.00	μB per formula unit
space-group type	Ibam, No. 72

It is version 1 that is the most stable of them.